## a
PBE CaZrCrN2, relaxed; space-group type = No. 123
1.0
4.2915 0.0000 0.0000
0.0000 4.2915 0.0000
0.0000 0.0000 4.2332
Ca Zr Cr N
1 1 1 2
direct
0.0000 0.0000 0.0000
0.5000 0.5000 0.5000
0.0000 0.0000 0.5000
0.0000 0.5000 0.0000
0.5000 0.0000 0.0000

***

## b
PBE CaZrCrN2, relaxed; space-group type = No. 123
1.0
4.3467 0.0000 0.0000
0.0000 4.3467 0.0000
0.0000 0.0000 5.2033
Ca Zr Cr N
1 1 1 2
direct
0.0000 0.0000 0.0000
0.5000 0.5000 0.5000
0.5000 0.5000 0.0000
0.0000 0.5000 0.5000
0.5000 0.0000 0.5000

***

Of them, the most stable is b and the least stable is a.

***

## a
PBE Na2Ca2Cr, relaxed; space-group type = No. 127
1.0
8.2553 0.0000 0.0000
0.0000 8.2553 0.0000
0.0000 0.0000 5.5468
Na Ca Cr
4 4 2
direct
0.1569 0.3431 0.0000
0.3431 0.8431 0.0000
0.6569 0.1569 0.0000
0.8431 0.6569 0.0000
0.1583 0.6583 0.5000
0.3417 0.1583 0.5000
0.6583 0.8417 0.5000
0.8417 0.3417 0.5000
0.0000 0.0000 0.5000
0.5000 0.5000 0.5000

***

## b
PBE Na2Ca2Cr, relaxed; space-group type = No. 139
1.0
4.1247 0.0000 0.0000
0.0000 4.1247 0.0000
0.0000 0.0000 20.0646
Na Ca Cr
4 4 2
direct
0.0000 0.5000 0.2500
0.0000 0.5000 0.7500
0.5000 0.0000 0.2500
0.5000 0.0000 0.7500
0.0000 0.0000 0.0884
0.0000 0.0000 0.9116
0.5000 0.5000 0.4116
0.5000 0.5000 0.5884
0.0000 0.0000 0.5000
0.5000 0.5000 0.0000

***

Of them, the most stable is b and the least stable is a.

***

## a
PBE NaCa3Cr, relaxed; space-group type = No. 221
1.0
5.9139 0.0000 0.0000
0.0000 5.9139 0.0000
0.0000 0.0000 5.9139
Na Ca Cr
1 3 1
direct
0.0000 0.0000 0.0000
0.0000 0.0000 0.5000
0.0000 0.5000 0.0000
0.5000 0.0000 0.0000
0.5000 0.5000 0.5000

***

## b
PBE NaCa3Cr, relaxed; space-group type = No. 221
1.0
5.5798 0.0000 0.0000
0.0000 5.5798 0.0000
0.0000 0.0000 5.5798
Na Ca Cr
1 3 1
direct
0.0000 0.0000 0.0000
0.0000 0.5000 0.5000
0.5000 0.0000 0.5000
0.5000 0.5000 0.0000
0.5000 0.5000 0.5000

***

Of them, the most stable is b and the least stable is a.

***

## a
PBE Na2CaCr, relaxed; space-group type = No. 225
1.0
7.8450 0.0000 0.0000
0.0000 7.8450 0.0000
0.0000 0.0000 7.8450
Na Ca Cr
8 4 4
direct
0.2500 0.2500 0.2500
0.2500 0.2500 0.7500
0.2500 0.7500 0.2500
0.2500 0.7500 0.7500
0.7500 0.2500 0.2500
0.7500 0.2500 0.7500
0.7500 0.7500 0.2500
0.7500 0.7500 0.7500
0.0000 0.0000 0.0000
0.0000 0.5000 0.5000
0.5000 0.0000 0.5000
0.5000 0.5000 0.0000
0.0000 0.0000 0.5000
0.0000 0.5000 0.0000
0.5000 0.0000 0.0000
0.5000 0.5000 0.5000

***

## b
PBE Na2CaCr, relaxed; space-group type = No. 122
1.0
4.5914 0.0000 0.0000
0.0000 4.5914 0.0000
0.0000 0.0000 24.6187
Na Ca Cr
8 4 4
direct
0.2256 0.2500 0.1250
0.2500 0.7256 0.3750
0.2500 0.7744 0.8750
0.2744 0.2500 0.6250
0.7256 0.7500 0.6250
0.7500 0.2256 0.8750
0.7500 0.2744 0.3750
0.7744 0.7500 0.1250
0.0000 0.0000 0.5000
0.0000 0.5000 0.7500
0.5000 0.0000 0.2500
0.5000 0.5000 0.0000
0.0000 0.0000 0.0000
0.0000 0.5000 0.2500
0.5000 0.0000 0.7500
0.5000 0.5000 0.5000

***

Of them, the most stable is a and the least stable is b.

***

## a
PBE CaNb3Cr, relaxed; space-group type = No. 221
1.0
4.6642 0.0000 0.0000
0.0000 4.6642 0.0000
0.0000 0.0000 4.6642
Ca Nb Cr
1 3 1
direct
0.0000 0.0000 0.0000
0.0000 0.0000 0.5000
0.0000 0.5000 0.0000
0.5000 0.0000 0.0000
0.5000 0.5000 0.5000

***

## b
PBE CaNb3Cr, relaxed; space-group type = No. 221
1.0
4.7587 0.0000 0.0000
0.0000 4.7587 0.0000
0.0000 0.0000 4.7587
Ca Nb Cr
1 3 1
direct
0.0000 0.0000 0.0000
0.0000 0.5000 0.5000
0.5000 0.0000 0.5000
0.5000 0.5000 0.0000
0.5000 0.5000 0.5000

***

Of them, the most stable is b and the least stable is a.

***

## a
PBE CaNbCr2, relaxed; space-group type = No. 225
1.0
6.6495 0.0000 0.0000
0.0000 6.6495 0.0000
0.0000 0.0000 6.6495
Ca Nb Cr
4 4 8
direct
0.0000 0.0000 0.0000
0.0000 0.5000 0.5000
0.5000 0.0000 0.5000
0.5000 0.5000 0.0000
0.0000 0.0000 0.5000
0.0000 0.5000 0.0000
0.5000 0.0000 0.0000
0.5000 0.5000 0.5000
0.2500 0.2500 0.2500
0.2500 0.2500 0.7500
0.2500 0.7500 0.2500
0.2500 0.7500 0.7500
0.7500 0.2500 0.2500
0.7500 0.2500 0.7500
0.7500 0.7500 0.2500
0.7500 0.7500 0.7500

***

## b
PBE CaNbCr2, relaxed; space-group type = No. 141
1.0
4.7296 0.0000 0.0000
0.0000 4.7296 0.0000
0.0000 0.0000 17.1148
Ca Nb Cr
4 4 8
direct
0.0000 0.2500 0.3750
0.0000 0.7500 0.6250
0.5000 0.2500 0.1250
0.5000 0.7500 0.8750
0.0000 0.2500 0.8750
0.0000 0.7500 0.1250
0.5000 0.2500 0.6250
0.5000 0.7500 0.3750
0.0000 0.0000 0.0000
0.0000 0.5000 0.0000
0.2500 0.2500 0.7500
0.2500 0.7500 0.2500
0.5000 0.0000 0.5000
0.5000 0.5000 0.5000
0.7500 0.2500 0.7500
0.7500 0.7500 0.2500

***

Of them, the most stable is a and the least stable is b.